1.
KFeRe: optimized geometry, PBE.

D(E_F): 2.89 states/eV/cell
ΔE_f: 1049 meV per atom
Crystal system: trigonal
Energy relative to the lowest polymorph listed for this composition: 0.35 eV/f.u.
V: 54.7 Å³ per cell
M_tot: 1.454 μB per formula unit

a b c (Å): 2.840 2.840 7.833
angles (deg): 90.00 90.00 120.00
Positions (direct):
K  0.000  0.000  0.000
Fe  0.333  0.667  0.627
Re  0.667  0.333  0.391


2.
ZnSbIr3: optimized geometry, PBE.

D(E_F): 1.66 states/eV/cell
Uncorrected formation energy: 153.97 kJ/mol of atoms
Crystal system: cubic
Energy relative to the lowest polymorph listed for this composition: 1.72 eV/f.u.
V: 113.1 Å³ per cell
M_tot: 0.000 μB per formula unit

a b c (Å): 4.837 4.837 4.837
angles (deg): 90.00 90.00 90.00
Positions (direct):
Zn  0.000  0.000  0.000
Sb  0.500  0.500  0.500
Ir  0.000  0.500  0.500
Ir  0.500  0.000  0.500
Ir  0.500  0.500  0.000


3.
TiS6Cl2: optimized geometry, PBE.

D(E_F): 0.15 states/eV/cell
Uncorrected formation energy: -44.96 kJ/mol of atoms
Crystal system: triclinic
V: 233.5 Å³ per cell
M_tot: 0.000 μB per formula unit

a b c (Å): 6.178 6.449 7.046
angles (deg): 65.50 67.91 88.94
Positions (direct):
Ti  0.000  0.000  0.000
S  0.084  0.268  0.163
S  0.234  0.711  0.831
S  0.373  0.867  0.075
S  0.627  0.133  0.925
S  0.766  0.289  0.169
S  0.916  0.732  0.837
Cl  0.201  0.293  0.647
Cl  0.799  0.707  0.353


4.
MgFe2As2: optimized geometry, PBE.

D(E_F): 9.02 states/eV/cell
ΔE_f: 29 meV per atom
Crystal system: tetragonal
V: 148.7 Å³ per cell
M_tot: 3.465 μB per formula unit

a b c (Å): 7.082 7.082 2.964
angles (deg): 90.00 90.00 90.00
Positions (direct):
Mg  0.000  0.000  0.000
Mg  0.500  0.500  0.000
Fe  0.139  0.361  0.500
Fe  0.361  0.861  0.500
Fe  0.639  0.139  0.500
Fe  0.861  0.639  0.500
As  0.151  0.651  0.000
As  0.349  0.151  0.000
As  0.651  0.849  0.000
As  0.849  0.349  0.000


5.
K2TaReO6: optimized geometry, PBE.

D(E_F): 4.55 states/eV/cell
Uncorrected formation energy: -207.48 kJ/mol of atoms
Crystal system: tetragonal
V: 126.5 Å³ per cell
M_tot: 0.219 μB per formula unit

a b c (Å): 5.641 5.641 3.977
angles (deg): 90.00 90.00 90.00
Positions (direct):
K  0.000  0.500  0.000
K  0.500  0.000  0.000
Ta  0.000  0.000  0.500
Re  0.500  0.500  0.500
O  0.000  0.000  0.000
O  0.253  0.253  0.500
O  0.253  0.747  0.500
O  0.500  0.500  0.000
O  0.747  0.253  0.500
O  0.747  0.747  0.500


6.
TiRh2CS: optimized geometry, PBE.

D(E_F): 2.71 states/eV/cell
Uncorrected formation energy: 23.00 kJ/mol of atoms
Crystal system: tetragonal
V: 75.1 Å³ per cell
M_tot: 0.000 μB per formula unit

a b c (Å): 3.851 3.851 5.065
angles (deg): 90.00 90.00 90.00
Positions (direct):
Ti  0.000  0.000  0.000
Rh  0.000  0.500  0.500
Rh  0.500  0.000  0.500
C  0.500  0.500  0.500
S  0.500  0.500  0.000